This record from the Alexandria database describes crystalline Cs2HgOs at its relaxed geometry. The functional is PBEsol.

```
data_Cs2HgOs
_cell_length_a 8.2280
_cell_length_b 8.2280
_cell_length_c 8.2280
_cell_angle_alpha 90.00
_cell_angle_beta 90.00
_cell_angle_gamma 90.00
_space_group_name_H-M_alt 'F m -3 m'
_space_group_IT_number 225
_space_group_name_Hall '-F 4 2 3'
loop_
_atom_site_label
_atom_site_type_symbol
_atom_site_fract_x
_atom_site_fract_y
_atom_site_fract_z
_atom_site_occupancy
Cs1 Cs 0.2500 0.2500 0.2500 1
Hg1 Hg 0.0000 0.0000 0.0000 1
Os1 Os 0.0000 0.0000 0.5000 1
```

## Properties
formation energy	1331	meV/atom


This record from the Alexandria database describes crystalline CsZr2HgOs at its relaxed geometry. The functional is PBEsol.

```
data_CsZr2HgOs
_cell_length_a 4.9610
_cell_length_b 4.9610
_cell_length_c 7.0790
_cell_angle_alpha 90.00
_cell_angle_beta 90.00
_cell_angle_gamma 90.00
_space_group_name_H-M_alt 'P 4/m m m'
_space_group_IT_number 123
_space_group_name_Hall '-P 4 2'
loop_
_atom_site_label
_atom_site_type_symbol
_atom_site_fract_x
_atom_site_fract_y
_atom_site_fract_z
_atom_site_occupancy
Cs1 Cs 0.0000 0.0000 0.0000 1
Zr1 Zr 0.0000 0.5000 0.5000 1
Hg1 Hg 0.5000 0.5000 0.0000 1
Os1 Os 0.0000 0.0000 0.5000 1
```

## Properties
formation energy	841	meV/atom


This record from the Alexandria database describes crystalline Cs2Hg2Pb at its relaxed geometry. The functional is PBEsol.

```
data_Cs2Hg2Pb
_cell_length_a 7.9733
_cell_length_b 7.9733
_cell_length_c 5.9543
_cell_angle_alpha 90.00
_cell_angle_beta 90.00
_cell_angle_gamma 90.00
_space_group_name_H-M_alt 'P 4/m b m'
_space_group_IT_number 127
_space_group_name_Hall '-P 4 2ab'
loop_
_atom_site_label
_atom_site_type_symbol
_atom_site_fract_x
_atom_site_fract_y
_atom_site_fract_z
_atom_site_occupancy
Cs1 Cs 0.1742 0.3258 0.0000 1
Hg1 Hg 0.1363 0.6363 0.5000 1
Pb1 Pb 0.0000 0.0000 0.5000 1
```

## Properties
formation energy	-150	meV/atom


This record from the Alexandria database describes crystalline Cs2Hg2Pd at its relaxed geometry. The functional is PBEsol.

```
data_Cs2Hg2Pd
_cell_length_a 4.1209
_cell_length_b 4.1209
_cell_length_c 20.9251
_cell_angle_alpha 90.00
_cell_angle_beta 90.00
_cell_angle_gamma 90.00
_space_group_name_H-M_alt 'I 4/m m m'
_space_group_IT_number 139
_space_group_name_Hall '-I 4 2'
loop_
_atom_site_label
_atom_site_type_symbol
_atom_site_fract_x
_atom_site_fract_y
_atom_site_fract_z
_atom_site_occupancy
Cs1 Cs 0.0000 0.0000 0.0923 1
Hg1 Hg 0.0000 0.5000 0.2500 1
Pd1 Pd 0.0000 0.0000 0.5000 1
```

## Properties
formation energy	109	meV/atom


This record from the Alexandria database describes crystalline CsPrHgSe3 at its relaxed geometry. The functional is PBEsol.

```
data_CsPrHgSe3
_cell_length_a 4.3290
_cell_length_b 15.8231
_cell_length_c 11.2183
_cell_angle_alpha 90.00
_cell_angle_beta 90.00
_cell_angle_gamma 90.00
_space_group_name_H-M_alt 'C m c m'
_space_group_IT_number 63
_space_group_name_Hall '-C 2c 2'
loop_
_atom_site_label
_atom_site_type_symbol
_atom_site_fract_x
_atom_site_fract_y
_atom_site_fract_z
_atom_site_occupancy
Cs1 Cs 0.0000 0.2458 0.2500 1
Pr1 Pr 0.0000 0.5000 0.0000 1
Hg1 Hg 0.0000 0.0407 0.7500 1
Se1 Se 0.0000 0.1251 0.5499 1
Se2 Se 0.0000 0.4343 0.7500 1
```

## Properties
energy relative to the elements, uncorrected	-28.609	kcal/mol of atoms


This record from the Alexandria database describes crystalline CsRbHg2 at its relaxed geometry. The functional is PBEsol.

```
data_CsRbHg2
_cell_length_a 8.6489
_cell_length_b 8.6489
_cell_length_c 8.6489
_cell_angle_alpha 90.00
_cell_angle_beta 90.00
_cell_angle_gamma 90.00
_space_group_name_H-M_alt 'F m -3 m'
_space_group_IT_number 225
_space_group_name_Hall '-F 4 2 3'
loop_
_atom_site_label
_atom_site_type_symbol
_atom_site_fract_x
_atom_site_fract_y
_atom_site_fract_z
_atom_site_occupancy
Cs1 Cs 0.0000 0.0000 0.0000 1
Rb1 Rb 0.0000 0.0000 0.5000 1
Hg1 Hg 0.2500 0.2500 0.2500 1
```

## Properties
formation energy	-135	meV/atom


This record from the Alexandria database describes crystalline CsRb3Hg at its relaxed geometry. The functional is PBEsol.

```
data_CsRb3Hg
_cell_length_a 7.1169
_cell_length_b 7.1169
_cell_length_c 7.1169
_cell_angle_alpha 90.00
_cell_angle_beta 90.00
_cell_angle_gamma 90.00
_space_group_name_H-M_alt 'P m -3 m'
_space_group_IT_number 221
_space_group_name_Hall '-P 4 2 3'
loop_
_atom_site_label
_atom_site_type_symbol
_atom_site_fract_x
_atom_site_fract_y
_atom_site_fract_z
_atom_site_occupancy
Cs1 Cs 0.0000 0.0000 0.0000 1
Rb1 Rb 0.0000 0.5000 0.5000 1
Hg1 Hg 0.5000 0.5000 0.5000 1
```

## Properties
formation energy	-58	meV/atom


This record from the Alexandria database describes crystalline CsRb2Hg2 at its relaxed geometry. The functional is PBEsol.

```
data_CsRb2Hg2
_cell_length_a 5.7196
_cell_length_b 5.7196
_cell_length_c 14.9198
_cell_angle_alpha 90.00
_cell_angle_beta 90.00
_cell_angle_gamma 90.00
_space_group_name_H-M_alt 'I 4/m m m'
_space_group_IT_number 139
_space_group_name_Hall '-I 4 2'
loop_
_atom_site_label
_atom_site_type_symbol
_atom_site_fract_x
_atom_site_fract_y
_atom_site_fract_z
_atom_site_occupancy
Cs1 Cs 0.0000 0.0000 0.0000 1
Rb1 Rb 0.0000 0.5000 0.2500 1
Hg1 Hg 0.0000 0.0000 0.4035 1
```

## Properties
offset from the most stable computed form	0.0000	eV per atom
formation energy	-109	meV/atom


This record from the Alexandria database describes crystalline Cs3RbHg at its relaxed geometry. The functional is PBEsol.

```
data_Cs3RbHg
_cell_length_a 7.3744
_cell_length_b 7.3744
_cell_length_c 7.3744
_cell_angle_alpha 90.00
_cell_angle_beta 90.00
_cell_angle_gamma 90.00
_space_group_name_H-M_alt 'P m -3 m'
_space_group_IT_number 221
_space_group_name_Hall '-P 4 2 3'
loop_
_atom_site_label
_atom_site_type_symbol
_atom_site_fract_x
_atom_site_fract_y
_atom_site_fract_z
_atom_site_occupancy
Cs1 Cs 0.0000 0.0000 0.5000 1
Rb1 Rb 0.5000 0.5000 0.5000 1
Hg1 Hg 0.0000 0.0000 0.0000 1
```

## Properties
formation energy	-65	meV/atom


This record from the Alexandria database describes crystalline CsRb2Hg2 at its relaxed geometry. The functional is PBEsol.

```
data_CsRb2Hg2
_cell_length_a 10.4769
_cell_length_b 10.4769
_cell_length_c 4.1739
_cell_angle_alpha 90.00
_cell_angle_beta 90.00
_cell_angle_gamma 90.00
_space_group_name_H-M_alt 'P 4/m b m'
_space_group_IT_number 127
_space_group_name_Hall '-P 4 2ab'
loop_
_atom_site_label
_atom_site_type_symbol
_atom_site_fract_x
_atom_site_fract_y
_atom_site_fract_z
_atom_site_occupancy
Cs1 Cs 0.0000 0.0000 0.0000 1
Rb1 Rb 0.1299 0.3701 0.0000 1
Hg1 Hg 0.1660 0.6660 0.5000 1
```

## Properties
offset from the most stable computed form	0.0439	eV per atom
formation energy	-65	meV/atom


This record from the Alexandria database describes crystalline Cs2ReHg at its relaxed geometry. The functional is PBEsol.

```
data_Cs2ReHg
_cell_length_a 8.3714
_cell_length_b 8.3714
_cell_length_c 8.3714
_cell_angle_alpha 90.00
_cell_angle_beta 90.00
_cell_angle_gamma 90.00
_space_group_name_H-M_alt 'F m -3 m'
_space_group_IT_number 225
_space_group_name_Hall '-F 4 2 3'
loop_
_atom_site_label
_atom_site_type_symbol
_atom_site_fract_x
_atom_site_fract_y
_atom_site_fract_z
_atom_site_occupancy
Cs1 Cs 0.2500 0.2500 0.2500 1
Re1 Re 0.0000 0.0000 0.0000 1
Hg1 Hg 0.0000 0.0000 0.5000 1
```

## Properties
formation energy	1491	meV/atom


This record from the Alexandria database describes crystalline CsRe3Hg at its relaxed geometry. The functional is PBEsol.

```
data_CsRe3Hg
_cell_length_a 4.8734
_cell_length_b 4.8734
_cell_length_c 4.8734
_cell_angle_alpha 90.00
_cell_angle_beta 90.00
_cell_angle_gamma 90.00
_space_group_name_H-M_alt 'P m -3 m'
_space_group_IT_number 221
_space_group_name_Hall '-P 4 2 3'
loop_
_atom_site_label
_atom_site_type_symbol
_atom_site_fract_x
_atom_site_fract_y
_atom_site_fract_z
_atom_site_occupancy
Cs1 Cs 0.0000 0.0000 0.0000 1
Re1 Re 0.0000 0.0000 0.5000 1
Hg1 Hg 0.5000 0.5000 0.5000 1
```

## Properties
formation energy	4094	meV/atom


This record from the Alexandria database describes crystalline CsReHgRu2 at its relaxed geometry. The functional is PBEsol.

```
data_CsReHgRu2
_cell_length_a 4.7965
_cell_length_b 4.7965
_cell_length_c 5.5904
_cell_angle_alpha 90.00
_cell_angle_beta 90.00
_cell_angle_gamma 90.00
_space_group_name_H-M_alt 'P 4/m m m'
_space_group_IT_number 123
_space_group_name_Hall '-P 4 2'
loop_
_atom_site_label
_atom_site_type_symbol
_atom_site_fract_x
_atom_site_fract_y
_atom_site_fract_z
_atom_site_occupancy
Cs1 Cs 0.0000 0.0000 0.0000 1
Re1 Re 0.5000 0.5000 0.5000 1
Hg1 Hg 0.0000 0.0000 0.5000 1
Ru1 Ru 0.0000 0.5000 0.0000 1
```

## Properties
formation energy	3468	meV/atom


This record from the Alexandria database describes crystalline CsHg3Rh at its relaxed geometry. The functional is PBEsol.

```
data_CsHg3Rh
_cell_length_a 6.4959
_cell_length_b 6.4959
_cell_length_c 6.4959
_cell_angle_alpha 90.00
_cell_angle_beta 90.00
_cell_angle_gamma 90.00
_space_group_name_H-M_alt 'P m -3 m'
_space_group_IT_number 221
_space_group_name_Hall '-P 4 2 3'
loop_
_atom_site_label
_atom_site_type_symbol
_atom_site_fract_x
_atom_site_fract_y
_atom_site_fract_z
_atom_site_occupancy
Cs1 Cs 0.0000 0.0000 0.0000 1
Hg1 Hg 0.0000 0.0000 0.5000 1
Rh1 Rh 0.5000 0.5000 0.5000 1
```

## Properties
offset from the most stable computed form	1.5483	eV per atom
formation energy	1398	meV/atom


Calculated density values (in g/cm3) by entry order: 7.83, 6.73, 7.67, 7.23, 6.15, 6.36, 2.72, 4.80, 2.84, 5.11, 7.39, 12.80, 9.32, 5.07.
Uncorrected energy values (in eV/atom) by entry order: -2.3356, -5.5398, -1.5534, -1.6865, -4.2813, -0.9102, -0.9755, -0.9340, -0.9487, -0.8901, -2.4551, -4.2066, -3.5696, -0.7582.
Total magnetization values (in μB per atom) by entry order: 0.5134, 0.0001, 0.0000, 0.0000, 0.0000, 0.0001, 0.0000, 0.0000, 0.0000, 0.0002, 0.7969, 0.6307, 0.7869, 0.3929.